# 1
Material: CsHgW
Method: DFT, PBE
State: relaxed

Geometry as POSCAR:
```
CsHgW
1.0
5.391 0.000 -0.007
0.000 3.831 0.000
-1.795 0.000 11.218
Cs Hg W
2 2 2
Cartesian
-0.455 0.958 9.190 Cs
4.051 2.874 2.021 Cs
1.241 0.958 4.234 Hg
2.355 2.874 6.977 Hg
3.957 0.958 5.061 W
-0.361 2.874 6.150 W
```

Results
Offset from the most stable computed form, meV/atom: 0
Formation energy from the elements, eV per atom: 0.76

# 2
Material: Cs2Hg2W
Method: DFT, PBE
State: relaxed

Geometry as POSCAR:
```
Cs2Hg2W
1.0
-9.499 0.161 -5.268
2.667 -9.218 -5.092
-1.546 -1.954 2.728
Cs Hg W
4 4 2
Cartesian
-0.753 -7.375 -5.710 Cs
-5.798 -6.273 -7.780 Cs
-6.079 -1.681 -4.650 Cs
-1.034 -2.784 -2.580 Cs
-0.119 -6.487 -2.212 Hg
-4.065 -9.182 -6.379 Hg
-8.259 -4.524 -5.420 Hg
-4.313 -1.829 -1.253 Hg
0.000 0.000 0.000 W
-3.416 -4.528 -5.180 W
```

Results
Formation energy from the elements, eV per atom: 1.18

# 3
Material: CsHg2W
Method: DFT, PBE
State: relaxed

Geometry as POSCAR:
```
CsHg2W
1.0
0.000 3.979 3.979
3.979 0.000 3.979
3.979 3.979 0.000
Cs Hg W
1 2 1
Cartesian
0.000 0.000 0.000 Cs
1.989 1.989 1.989 Hg
5.968 5.968 5.968 Hg
3.979 3.979 3.979 W
```

Results
Offset from the most stable computed form, meV/atom: 202
Formation energy from the elements, eV per atom: 1.32

# 4
Material: Cs3HgW
Method: DFT, PBE
State: relaxed

Geometry as POSCAR:
```
Cs3HgW
1.0
7.060 0.000 0.000
0.000 7.060 0.000
0.000 0.000 7.060
Cs Hg W
3 1 1
Cartesian
0.000 3.530 0.000 Cs
0.000 0.000 3.530 Cs
3.530 0.000 0.000 Cs
0.000 0.000 0.000 Hg
3.530 3.530 3.530 W
```

Results
Offset from the most stable computed form, meV/atom: 0
Formation energy from the elements, eV per atom: 1.30

# 5
Material: CsHg2W
Method: DFT, PBE
State: relaxed

Geometry as POSCAR:
```
CsHg2W
1.0
-2.320 -5.601 2.716
6.055 -2.704 -0.405
3.646 -1.284 8.591
Cs Hg W
2 4 2
Cartesian
1.867 -4.153 1.156 Cs
5.784 -4.070 4.671 Cs
-0.367 -5.574 4.480 Hg
2.671 -6.898 4.265 Hg
2.606 -3.395 7.412 Hg
1.476 -6.209 8.768 Hg
0.000 0.000 0.000 W
1.597 -5.519 6.231 W
```

Results
Offset from the most stable computed form, meV/atom: 0
Formation energy from the elements, eV per atom: 1.12

# 6
Material: CsZnHgW2
Method: DFT, PBE
State: relaxed

Geometry as POSCAR:
```
CsZnHgW2
1.0
-1.923 4.374 2.476
-1.335 -3.715 5.524
4.914 1.078 1.912
Cs Zn Hg W
1 1 1 2
Cartesian
-0.667 -1.857 2.762 Cs
0.828 0.869 4.956 Zn
0.000 0.000 0.000 Hg
2.457 0.539 0.956 W
-0.962 2.187 1.238 W
```

Results
Formation energy from the elements, eV per atom: 2.42

Question: The lowest formation energy from the elements belongs to which entry?
Answer: CsHgW